A relaxed structure of ThTcAs, computed with PBE-GGA.

Properties
DOS(E_F), states/eV per atom: 0.525
E, eV per atom: -7.66
Size of the total moment, μB per atom: 0.0000
Formation energy, eV per atom: -0.18

a b c (Å): 8.7875 7.4804 6.8487
angles (deg): 75.51 55.50 48.99
Closest atoms and distances in Å follow each position.
Sites, in units of the cell vectors:
Th1 0.0788 0.0788 0.6712  2 Tc 2.83, 4 As 3.00-3.05
Th2 0.3288 0.3288 0.9212  2 Tc 2.83, 4 As 3.00-3.05
Th3 0.6712 0.6712 0.0788  2 Tc 2.83, 4 As 3.00-3.05
Th4 0.9212 0.9212 0.3288  2 Tc 2.83, 4 As 3.00-3.05
Tc1 0.0000 0.5000 0.5000  2 As 2.51
Tc2 0.5000 0.0000 0.5000  2 As 2.51
Tc3 0.5000 0.5000 0.0000  2 As 2.51
Tc4 0.5000 0.5000 0.5000  2 As 2.51
As1 0.0791 0.6709 0.6709  2 Tc 2.51
As2 0.3291 0.9209 0.9209  2 Tc 2.51
As3 0.6709 0.0791 0.0791  2 Tc 2.51
As4 0.9209 0.3291 0.3291  2 Tc 2.51